(1)
# LaGe2Os, optimized geometry, DFT PBE
# - Fermi-level density of states (states/eV/atom) = 0.70
# - uncorrected energy (eV per atom) = -6.48
# - formation energy (eV/atom) = -0.132
# - total magnetization (μB per formula unit) = 0.00
data_LaGe2Os
_chemical_formula_sum 'La4 Ge8 Os4'
_cell_length_a 4.8937
_cell_length_b 4.8937
_cell_length_c 16.4054
_cell_angle_alpha 90.00
_cell_angle_beta 90.00
_cell_angle_gamma 90.00
_space_group_name_H-M_alt 'I -4 2 d'
_space_group_IT_number 122
_space_group_name_Hall 'I -4 2bw'
loop_
_atom_site_label
_atom_site_type_symbol
_atom_site_fract_x
_atom_site_fract_y
_atom_site_fract_z
La1 La 0.0000 0.0000 0.0000
Ge1 Ge 0.0720 0.2500 0.6250
Os1 Os 0.0000 0.0000 0.5000

(2)
# Li3LaZn, optimized geometry, DFT PBE
# - Fermi-level density of states (states/eV/atom) = 0.99
# - uncorrected energy (eV per atom) = -2.27
# - formation energy (eV/atom) = 0.118
# - total magnetization (μB per formula unit) = 0.30
# - distance to the lowest polymorph of the same formula (meV per atom) = 0
data_Li3LaZn
_chemical_formula_sum 'Li3 La1 Zn1'
_cell_length_a 4.8701
_cell_length_b 4.8701
_cell_length_c 4.8701
_cell_angle_alpha 90.00
_cell_angle_beta 90.00
_cell_angle_gamma 90.00
_space_group_name_H-M_alt 'P m -3 m'
_space_group_IT_number 221
_space_group_name_Hall '-P 4 2 3'
loop_
_atom_site_label
_atom_site_type_symbol
_atom_site_fract_x
_atom_site_fract_y
_atom_site_fract_z
Li1 Li 0.0000 0.0000 0.5000
La1 La 0.5000 0.5000 0.5000
Zn1 Zn 0.0000 0.0000 0.0000

(3)
# BaCaP2, optimized geometry, DFT PBE
# - Fermi-level density of states (states/eV/atom) = 0.44
# - uncorrected energy (eV per atom) = -4.52
# - formation energy (eV/atom) = -0.835
# - total magnetization (μB per formula unit) = 0.00
# - distance to the lowest polymorph of the same formula (meV per atom) = 61
data_BaCaP2
_chemical_formula_sum 'Ba1 Ca1 P2'
_cell_length_a 3.9265
_cell_length_b 3.8978
_cell_length_c 6.5685
_cell_angle_alpha 90.00
_cell_angle_beta 90.06
_cell_angle_gamma 90.00
_space_group_name_H-M_alt 'P 1 2/m 1'
_space_group_IT_number 10
_space_group_name_Hall '-P 2y'
loop_
_atom_site_label
_atom_site_type_symbol
_atom_site_fract_x
_atom_site_fract_y
_atom_site_fract_z
Ba1 Ba 0.0000 0.0000 0.0000
Ca1 Ca 0.0000 0.0000 0.5000
P1 P 0.4998 0.5000 0.3215

(4)
# PmSm2Ag2Sn2, optimized geometry, DFT PBE
# - Fermi-level density of states (states/eV/atom) = 0.51
# - uncorrected energy (eV per atom) = -4.41
# - formation energy (eV/atom) = -0.421
# - total magnetization (μB per formula unit) = 0.00
data_PmSm2Ag2Sn2
_chemical_formula_sum 'Pm3 Sm6 Ag6 Sn6'
_cell_length_a 4.8791
_cell_length_b 4.8791
_cell_length_c 26.6615
_cell_angle_alpha 90.00
_cell_angle_beta 90.00
_cell_angle_gamma 120.00
_space_group_name_H-M_alt 'R -3 m'
_space_group_IT_number 166
_space_group_name_Hall '-R 3 2"'
loop_
_atom_site_label
_atom_site_type_symbol
_atom_site_fract_x
_atom_site_fract_y
_atom_site_fract_z
Pm1 Pm 0.0000 0.0000 0.0000
Sm1 Sm 0.0000 0.0000 0.1347
Ag1 Ag 0.0000 0.0000 0.4299
Sn1 Sn 0.0000 0.0000 0.2657

(5)
# SrDyIn2Hg2, optimized geometry, DFT PBE
# - Fermi-level density of states (states/eV/atom) = 0.50
# - uncorrected energy (eV per atom) = -2.51
# - formation energy (eV/atom) = -0.445
# - total magnetization (μB per formula unit) = 0.00
data_SrDyIn2Hg2
_chemical_formula_sum 'Sr1 Dy1 In2 Hg2'
_cell_length_a 4.9681
_cell_length_b 4.9681
_cell_length_c 7.8101
_cell_angle_alpha 90.00
_cell_angle_beta 90.00
_cell_angle_gamma 120.00
_space_group_name_H-M_alt 'P -3 m 1'
_space_group_IT_number 164
_space_group_name_Hall '-P 3 2"'
loop_
_atom_site_label
_atom_site_type_symbol
_atom_site_fract_x
_atom_site_fract_y
_atom_site_fract_z
Sr1 Sr 0.0000 0.0000 0.0000
Dy1 Dy 0.0000 0.0000 0.5000
In1 In 0.3333 0.6667 0.7185
Hg1 Hg 0.3333 0.6667 0.2978

(6)
# BeSiAg3, optimized geometry, DFT PBE
# - Fermi-level density of states (states/eV/atom) = 0.53
# - uncorrected energy (eV per atom) = -2.95
# - formation energy from raw total energies (meV/atom) = 594
# - total magnetization (μB per formula unit) = 0.00
# - distance to the lowest polymorph of the same formula (meV per atom) = 0
data_BeSiAg3
_chemical_formula_sum 'Be1 Si1 Ag3'
_cell_length_a 4.4626
_cell_length_b 4.4626
_cell_length_c 4.4626
_cell_angle_alpha 90.00
_cell_angle_beta 90.00
_cell_angle_gamma 90.00
_space_group_name_H-M_alt 'P m -3 m'
_space_group_IT_number 221
_space_group_name_Hall '-P 4 2 3'
loop_
_atom_site_label
_atom_site_type_symbol
_atom_site_fract_x
_atom_site_fract_y
_atom_site_fract_z
Be1 Be 0.0000 0.0000 0.0000
Si1 Si 0.5000 0.5000 0.5000
Ag1 Ag 0.0000 0.0000 0.5000

(7)
# CoNi2Sn8, optimized geometry, DFT PBE
# - Fermi-level density of states (states/eV/atom) = 0.48
# - uncorrected energy (eV per atom) = -4.58
# - formation energy (eV/atom) = 0.025
# - total magnetization (μB per formula unit) = 0.00
# - distance to the lowest polymorph of the same formula (meV per atom) = 72
data_CoNi2Sn8
_chemical_formula_sum 'Co2 Ni4 Sn16'
_cell_length_a 16.6761
_cell_length_b 4.4081
_cell_length_c 6.7806
_cell_angle_alpha 90.00
_cell_angle_beta 109.51
_cell_angle_gamma 90.00
_space_group_name_H-M_alt 'C 1 2/m 1'
_space_group_IT_number 12
_space_group_name_Hall '-C 2y'
loop_
_atom_site_label
_atom_site_type_symbol
_atom_site_fract_x
_atom_site_fract_y
_atom_site_fract_z
Co1 Co 0.0000 0.0000 0.0000
Ni1 Ni 0.1726 0.5000 0.6783
Sn1 Sn 0.0401 0.5000 0.8236
Sn2 Sn 0.0809 0.0000 0.4358
Sn3 Sn 0.1711 0.0000 0.9882
Sn4 Sn 0.2156 0.5000 0.3328

(8)
# Cs3Pu6F20, optimized geometry, DFT PBE
# - Fermi-level density of states (states/eV/atom) = 2.86
# - uncorrected energy (eV per atom) = -7.70
# - formation energy from raw total energies (meV/atom) = -3352
# - total magnetization (μB per formula unit) = 31.00
data_Cs3Pu6F20
_chemical_formula_sum 'Cs12 Pu24 F80'
_cell_length_a 12.5084
_cell_length_b 12.5084
_cell_length_c 12.5084
_cell_angle_alpha 90.00
_cell_angle_beta 90.00
_cell_angle_gamma 90.00
_space_group_name_H-M_alt 'F m -3 m'
_space_group_IT_number 225
_space_group_name_Hall '-F 4 2 3'
loop_
_atom_site_label
_atom_site_type_symbol
_atom_site_fract_x
_atom_site_fract_y
_atom_site_fract_z
Cs1 Cs 0.0000 0.0000 0.0000
Cs2 Cs 0.2500 0.2500 0.2500
Pu1 Pu 0.0000 0.0000 0.2666
F1 F 0.0000 0.1646 0.1646
F2 F 0.1089 0.1089 0.3911

(9)
# TiNb12W7, optimized geometry, DFT PBE
# - Fermi-level density of states (states/eV/atom) = 0.87
# - uncorrected energy (eV per atom) = -10.61
# - formation energy (eV/atom) = 0.360
# - total magnetization (μB per formula unit) = 0.00
data_TiNb12W7
_chemical_formula_sum 'Ti3 Nb36 W21'
_cell_length_a 9.8318
_cell_length_b 9.8318
_cell_length_c 13.1004
_cell_angle_alpha 90.00
_cell_angle_beta 90.00
_cell_angle_gamma 120.00
_space_group_name_H-M_alt 'R -3'
_space_group_IT_number 148
_space_group_name_Hall '-R 3'
loop_
_atom_site_label
_atom_site_type_symbol
_atom_site_fract_x
_atom_site_fract_y
_atom_site_fract_z
Ti1 Ti 0.0000 0.0000 0.0000
Nb1 Nb 0.0242 0.5769 0.7033
Nb2 Nb 0.0546 0.4677 0.0898
W1 W 0.0000 0.0000 0.5000
W2 W 0.0510 0.8668 0.8182

(10)
# Be2CuPd8, optimized geometry, DFT PBE
# - Fermi-level density of states (states/eV/atom) = 0.92
# - uncorrected energy (eV per atom) = -5.02
# - formation energy (eV/atom) = -0.192
# - total magnetization (μB per formula unit) = 0.00
# - distance to the lowest polymorph of the same formula (meV per atom) = 0
data_Be2CuPd8
_chemical_formula_sum 'Be4 Cu2 Pd16'
_cell_length_a 3.8219
_cell_length_b 6.8002
_cell_length_c 11.9802
_cell_angle_alpha 90.00
_cell_angle_beta 90.00
_cell_angle_gamma 90.00
_space_group_name_H-M_alt 'I m m m'
_space_group_IT_number 71
_space_group_name_Hall '-I 2 2'
loop_
_atom_site_label
_atom_site_type_symbol
_atom_site_fract_x
_atom_site_fract_y
_atom_site_fract_z
Be1 Be 0.0000 0.0000 0.2070
Cu1 Cu 0.0000 0.0000 0.5000
Pd1 Pd 0.0000 0.1911 0.0000
Pd2 Pd 0.0000 0.2905 0.3370
Pd3 Pd 0.0000 0.5000 0.1460

(11)
# KRb4Cd3, optimized geometry, DFT PBE
# - Fermi-level density of states (states/eV/atom) = 0.71
# - uncorrected energy (eV per atom) = -0.96
# - formation energy (eV/atom) = 0.002
# - total magnetization (μB per formula unit) = 0.00
data_KRb4Cd3
_chemical_formula_sum 'K1 Rb4 Cd3'
_cell_length_a 5.3120
_cell_length_b 5.3751
_cell_length_c 15.8626
_cell_angle_alpha 90.00
_cell_angle_beta 90.00
_cell_angle_gamma 90.00
_space_group_name_H-M_alt 'P m m 2'
_space_group_IT_number 25
_space_group_name_Hall 'P 2 -2'
loop_
_atom_site_label
_atom_site_type_symbol
_atom_site_fract_x
_atom_site_fract_y
_atom_site_fract_z
K1 K 0.0000 0.0000 0.0000
Rb1 Rb 0.0000 0.0000 0.6561
Rb2 Rb 0.0000 0.5000 0.2319
Rb3 Rb 0.5000 0.0000 0.4086
Rb4 Rb 0.5000 0.5000 0.8343
Cd1 Cd 0.0000 0.5000 0.4908
Cd2 Cd 0.5000 0.0000 0.1590
Cd3 Cd 0.5000 0.5000 0.5775